Entry from the Alexandria database: an optimized crystal structure of Ac2CoPbO5 (PBE+U).

Cell: 6.5664 7.1720 7.1720 Å, 90.00 90.00 90.00°
Site moments in Bohr magnetons follow the coordinates.
Positions (direct):
Ac 0.5000 0.6789 0.1789  -0.01
Ac 0.5000 0.1789 0.3211  -0.01
Ac 0.5000 0.8211 0.6789  -0.01
Ac 0.5000 0.3211 0.8211  -0.01
Co 0.0000 0.5000 0.5000  2.69
Co 0.0000 0.0000 0.0000  2.69
Pb 0.0000 0.0000 0.5000  -0.08
Pb 0.0000 0.5000 0.0000  -0.08
O 0.5000 0.5000 0.5000  0.01
O 0.5000 0.0000 0.0000  0.01
O 0.2581 0.1435 0.6435  -0.03
O 0.2581 0.8565 0.3565  -0.03
O 0.2581 0.3565 0.1435  -0.03
O 0.2581 0.6435 0.8565  -0.03
O 0.7419 0.1435 0.6435  -0.03
O 0.7419 0.6435 0.8565  -0.03
O 0.7419 0.8565 0.3565  -0.03
O 0.7419 0.3565 0.1435  -0.03

Calculated values
**Calculated volume**: 168.88 Å³/f.u.
**SG**: P4/mbm
**Energy**: -6.226 eV per atom
**DOS(E_F)**: 0.92 states/eV/atom